Record 1
Entry from Alexandria via LeMat-Bulk: a geometry-optimized Tb2Pm5ErSc structure (PBE).

Cell: 5.353 21.863 10.175 Å, 90.00 90.00 90.00°
Space group Cmc2_1 (No. 36)
One atom of each set of equivalent atoms:
Tb (0.000, 0.115, 0.000)
Tb (0.000, 0.116, 0.498)
Pm (0.000, 0.001, 0.749)
Pm (0.000, 0.278, 0.936)
Pm (0.000, 0.279, 0.560)
Pm (0.000, 0.373, 0.249)
Pm (0.000, 0.500, 0.499)
Er (0.000, 0.398, 0.749)
Sc (0.000, 0.213, 0.248)

Computed properties:
- Energy of formation: 0.12 eV per atom

=====

Record 2
Entry from Alexandria via LeMat-Bulk: a geometry-optimized AcTh4Ge4 structure (PBE).

Cell: 9.716 9.716 6.031 Å, 90.00 90.00 90.00°
Space group I4/m (No. 87)
One atom of each set of equivalent atoms:
Ac (0.000, 0.000, 0.000)
Th (0.106, 0.693, 0.500)
Ge (0.104, 0.692, 0.000)

Computed properties:
- Energy of formation: -0.59 eV per atom

=====

Record 3
Entry from Alexandria via LeMat-Bulk: a geometry-optimized HoScBeGa structure (PBE).

Cell: 6.751 6.751 6.751 Å, 90.00 90.00 90.00°
Space group F-43m (No. 216)
One atom of each set of equivalent atoms:
Ho (0.000, 0.000, 0.000)
Sc (0.000, 0.000, 0.500)
Be (0.250, 0.250, 0.250)
Ga (0.250, 0.250, 0.750)

Computed properties:
- Energy of formation: -0.28 eV per atom

=====

Record 4
Entry from Alexandria via LeMat-Bulk: a geometry-optimized Mo3Os4 structure (PBE).

Cell: 3.223 3.223 20.630 Å, 90.00 90.00 90.00°
Space group I4/mmm (No. 139)
One atom of each set of equivalent atoms:
Mo (0.000, 0.000, 0.000)
Mo (0.000, 0.000, 0.289)
Os (0.000, 0.000, 0.147)
Os (0.000, 0.000, 0.433)

Computed properties:
- Energy of formation: 0.40 eV per atom
- ΔE to the lowest computed polymorph: 0.00 eV/f.u.

=====

Record 5
Entry from Alexandria via LeMat-Bulk: a geometry-optimized Ba3Tl2Pt2Au4 structure (PBE).

Cell: 4.7779 4.7779 16.5629 Å, 90.00 90.00 120.00°
Space group P-3m1 (No. 164)
One atom of each set of equivalent atoms:
Ba (0.0000, 0.0000, 0.0000)
Ba (0.0000, 0.0000, 0.2548)
Tl (0.3333, 0.6667, 0.5668)
Pt (0.3333, 0.6667, 0.1329)
Au (0.3333, 0.6667, 0.3849)
Au (0.3333, 0.6667, 0.8690)

Computed properties:
- Energy of formation: -0.51 eV per atom

=====

Record 6
Entry from Alexandria via LeMat-Bulk: a geometry-optimized ScHgGeCl6 structure (PBE).

Cell: 6.4616 6.4616 9.1602 Å, 90.00 90.00 120.00°
Space group P312 (No. 149)
One atom of each set of equivalent atoms:
Sc (0.0000, 0.0000, 0.0000)
Hg (0.6667, 0.3333, 0.5000)
Ge (0.3333, 0.6667, 0.0000)
Cl (0.0341, 0.3352, 0.8439)

Computed properties:
- Raw formation energy: -1.21 eV/atom

=====

| no. | total energy (eV per cell) | M_tot (μB/cell) |
| --- | --- | --- |
| 1 | -171.14 | 0.00 |
| 2 | -115.09 | 0.78 |
| 3 | -75.08 | 0.00 |
| 4 | -149.29 | 0.00 |
| 5 | -41.31 | 0.00 |
| 6 | -33.21 | 0.31 |